# MgTa2Re, relaxed, DFT PBE-GGA
# E = -9.337 eV per atom
# Theoretical density = 13.47 Mg/m³
# Crystal system = tetragonal
data_MgTa2Re
_chemical_formula_sum 'Mg1 Ta2 Re1'
_cell_length_a 3.239
_cell_length_b 3.239
_cell_length_c 6.724
_cell_angle_alpha 90.00
_cell_angle_beta 90.00
_cell_angle_gamma 90.00
_space_group_name_H-M_alt 'P 4/m m m'
_space_group_IT_number 123
_space_group_name_Hall '-P 4 2'
loop_
_atom_site_label
_atom_site_type_symbol
_atom_site_fract_x
_atom_site_fract_y
_atom_site_fract_z
Mg1 Mg 0.000 0.000 0.000
Ta1 Ta 0.500 0.500 0.274
Re1 Re 0.000 0.000 0.500

***

# MgTa2Re, relaxed, DFT PBE-GGA
# E = -9.304 eV per atom
# Theoretical density = 13.85 Mg/m³
# Crystal system = monoclinic
data_MgTa2Re
_chemical_formula_sum 'Mg2 Ta4 Re2'
_cell_length_a 5.690
_cell_length_b 9.292
_cell_length_c 2.742
_cell_angle_alpha 90.00
_cell_angle_beta 108.83
_cell_angle_gamma 90.00
_space_group_name_H-M_alt 'C 1 2/m 1'
_space_group_IT_number 12
loop_
_space_group_symop_operation_xyz
'x,y,z'
'-x,-y,-z'
'-x,y,-z'
'x,-y,z'
'x+1/2,y+1/2,z'
'-x+1/2,-y+1/2,-z'
'-x+1/2,y+1/2,-z'
'x+1/2,-y+1/2,z'
loop_
_atom_site_label
_atom_site_type_symbol
_atom_site_fract_x
_atom_site_fract_y
_atom_site_fract_z
Mg1 Mg 0.000 0.000 0.000
Ta1 Ta 0.250 0.250 0.500
Re1 Re 0.000 0.500 0.000

***

# MgTa2Re, relaxed, DFT PBE-GGA
# E = -9.266 eV per atom
# Theoretical density = 13.40 Mg/m³
# Crystal system = tetragonal
data_MgTa2Re
_chemical_formula_sum 'Mg1 Ta2 Re1'
_cell_length_a 3.242
_cell_length_b 3.242
_cell_length_c 6.750
_cell_angle_alpha 90.00
_cell_angle_beta 90.00
_cell_angle_gamma 90.00
_space_group_name_H-M_alt 'P 4 m m'
_space_group_IT_number 99
loop_
_space_group_symop_operation_xyz
'x,y,z'
'-y,x,z'
'-x,-y,z'
'y,-x,z'
'-x,y,z'
'y,x,z'
'x,-y,z'
'-y,-x,z'
loop_
_atom_site_label
_atom_site_type_symbol
_atom_site_fract_x
_atom_site_fract_y
_atom_site_fract_z
Mg1 Mg 0.000 0.000 0.000
Ta1 Ta 0.000 0.000 0.456
Ta2 Ta 0.500 0.500 0.709
Re1 Re 0.500 0.500 0.247

***

# Mg2TaRe, relaxed, DFT PBE-GGA
# E = -6.630 eV per atom
# Theoretical density = 9.93 Mg/m³
# Crystal system = monoclinic
data_Mg2TaRe
_chemical_formula_sum 'Mg2 Ta1 Re1'
_cell_length_a 2.755
_cell_length_b 4.728
_cell_length_c 5.479
_cell_angle_alpha 90.00
_cell_angle_beta 103.00
_cell_angle_gamma 90.00
_space_group_name_H-M_alt 'P 1 2/m 1'
_space_group_IT_number 10
loop_
_space_group_symop_operation_xyz
'x,y,z'
'-x,-y,-z'
'-x,y,-z'
'x,-y,z'
loop_
_atom_site_label
_atom_site_type_symbol
_atom_site_fract_x
_atom_site_fract_y
_atom_site_fract_z
Mg1 Mg 0.054 0.000 0.260
Ta1 Ta 0.500 0.500 0.000
Re1 Re 0.500 0.500 0.500

***

# MgTaRe2, relaxed, DFT PBE-GGA
# E = -9.390 eV per atom
# Theoretical density = 14.33 Mg/m³
# Crystal system = trigonal
data_MgTaRe2
_chemical_formula_sum 'Mg3 Ta3 Re6'
_cell_length_a 2.8346
_cell_length_b 2.8346
_cell_length_c 28.8539
_cell_angle_alpha 90.00
_cell_angle_beta 90.00
_cell_angle_gamma 120.00
_space_group_name_H-M_alt 'R 3 m'
_space_group_IT_number 160
_space_group_name_Hall 'R 3 -2"'
loop_
_atom_site_label
_atom_site_type_symbol
_atom_site_fract_x
_atom_site_fract_y
_atom_site_fract_z
Mg1 Mg 0.0000 0.0000 0.0000
Ta1 Ta 0.0000 0.0000 0.7588
Re1 Re 0.0000 0.0000 0.2495
Re2 Re 0.0000 0.0000 0.5103

***

# MgTaRe2, relaxed, DFT PBE-GGA
# E = -9.282 eV per atom
# Theoretical density = 14.80 Mg/m³
# Crystal system = tetragonal
data_MgTaRe2
_chemical_formula_sum 'Mg2 Ta2 Re4'
_cell_length_a 3.960
_cell_length_b 3.960
_cell_length_c 8.267
_cell_angle_alpha 90.00
_cell_angle_beta 90.00
_cell_angle_gamma 90.00
_space_group_name_H-M_alt 'I -4 m 2'
_space_group_IT_number 119
_space_group_name_Hall 'I -4 -2'
loop_
_atom_site_label
_atom_site_type_symbol
_atom_site_fract_x
_atom_site_fract_y
_atom_site_fract_z
Mg1 Mg 0.000 0.000 0.000
Ta1 Ta 0.000 0.500 0.250
Re1 Re 0.000 0.000 0.500
Re2 Re 0.000 0.500 0.750

***

# MgTa2Re2, relaxed, DFT PBE-GGA
# E = -9.857 eV per atom
# Theoretical density = 13.89 Mg/m³
# Crystal system = tetragonal
data_MgTa2Re2
_chemical_formula_sum 'Mg2 Ta4 Re4'
_cell_length_a 7.701
_cell_length_b 7.701
_cell_length_c 3.057
_cell_angle_alpha 90.00
_cell_angle_beta 90.00
_cell_angle_gamma 90.00
_space_group_name_H-M_alt 'P 4/m b m'
_space_group_IT_number 127
_space_group_name_Hall '-P 4 2ab'
loop_
_atom_site_label
_atom_site_type_symbol
_atom_site_fract_x
_atom_site_fract_y
_atom_site_fract_z
Mg1 Mg 0.000 0.000 0.000
Ta1 Ta 0.150 0.350 0.500
Re1 Re 0.147 0.647 0.000

***

# Mg2TaRe2, relaxed, DFT PBE-GGA
# E = -7.266 eV per atom
# Theoretical density = 12.31 Mg/m³
# Crystal system = tetragonal
data_Mg2TaRe2
_chemical_formula_sum 'Mg4 Ta2 Re4'
_cell_length_a 7.032
_cell_length_b 7.032
_cell_length_c 3.284
_cell_angle_alpha 90.00
_cell_angle_beta 90.00
_cell_angle_gamma 90.00
_space_group_name_H-M_alt 'P 4/m b m'
_space_group_IT_number 127
_space_group_name_Hall '-P 4 2ab'
loop_
_atom_site_label
_atom_site_type_symbol
_atom_site_fract_x
_atom_site_fract_y
_atom_site_fract_z
Mg1 Mg 0.122 0.378 0.000
Ta1 Ta 0.000 0.000 0.000
Re1 Re 0.180 0.680 0.500

***

# MgTa2Re, relaxed, DFT PBE-GGA
# E = -9.167 eV per atom
# Theoretical density = 13.86 Mg/m³
# Crystal system = cubic
data_MgTa2Re
_chemical_formula_sum 'Mg4 Ta8 Re4'
_cell_length_a 6.497
_cell_length_b 6.497
_cell_length_c 6.497
_cell_angle_alpha 90.00
_cell_angle_beta 90.00
_cell_angle_gamma 90.00
_space_group_name_H-M_alt 'F -4 3 m'
_space_group_IT_number 216
_space_group_name_Hall 'F -4 2 3'
loop_
_atom_site_label
_atom_site_type_symbol
_atom_site_fract_x
_atom_site_fract_y
_atom_site_fract_z
Mg1 Mg 0.000 0.000 0.000
Ta1 Ta 0.000 0.000 0.500
Ta2 Ta 0.250 0.250 0.250
Re1 Re 0.250 0.250 0.750

***

# MgTa2Re, relaxed, DFT PBE-GGA
# E = -9.187 eV per atom
# Theoretical density = 13.03 Mg/m³
# Crystal system = trigonal
data_MgTa2Re
_chemical_formula_sum 'Mg3 Ta6 Re3'
_cell_length_a 2.9992
_cell_length_b 2.9992
_cell_length_c 28.1037
_cell_angle_alpha 90.00
_cell_angle_beta 90.00
_cell_angle_gamma 120.00
_space_group_name_H-M_alt 'R -3 m'
_space_group_IT_number 166
_space_group_name_Hall '-R 3 2"'
loop_
_atom_site_label
_atom_site_type_symbol
_atom_site_fract_x
_atom_site_fract_y
_atom_site_fract_z
Mg1 Mg 0.0000 0.0000 0.0000
Ta1 Ta 0.0000 0.0000 0.2418
Re1 Re 0.0000 0.0000 0.5000

***

# MgTaRe2, relaxed, DFT PBE-GGA
# E = -9.484 eV per atom
# Theoretical density = 14.83 Mg/m³
# Crystal system = monoclinic
data_MgTaRe2
_chemical_formula_sum 'Mg1 Ta1 Re2'
_cell_length_a 2.720
_cell_length_b 4.456
_cell_length_c 5.402
_cell_angle_alpha 90.00
_cell_angle_beta 98.87
_cell_angle_gamma 90.00
_space_group_name_H-M_alt 'P 1 2/m 1'
_space_group_IT_number 10
loop_
_space_group_symop_operation_xyz
'x,y,z'
'-x,-y,-z'
'-x,y,-z'
'x,-y,z'
loop_
_atom_site_label
_atom_site_type_symbol
_atom_site_fract_x
_atom_site_fract_y
_atom_site_fract_z
Mg1 Mg 0.000 0.000 0.000
Ta1 Ta 0.500 0.000 0.500
Re1 Re 0.284 0.500 0.759

***

# MgTaRe2, relaxed, DFT PBE-GGA
# E = -9.338 eV per atom
# Theoretical density = 14.91 Mg/m³
# Crystal system = cubic
data_MgTaRe2
_chemical_formula_sum 'Mg4 Ta4 Re8'
_cell_length_a 6.361
_cell_length_b 6.361
_cell_length_c 6.361
_cell_angle_alpha 90.00
_cell_angle_beta 90.00
_cell_angle_gamma 90.00
_space_group_name_H-M_alt 'F -4 3 m'
_space_group_IT_number 216
_space_group_name_Hall 'F -4 2 3'
loop_
_atom_site_label
_atom_site_type_symbol
_atom_site_fract_x
_atom_site_fract_y
_atom_site_fract_z
Mg1 Mg 0.000 0.000 0.000
Ta1 Ta 0.250 0.250 0.250
Re1 Re 0.000 0.000 0.500
Re2 Re 0.250 0.250 0.750

***

# Mg2TaRe, relaxed, DFT PBE-GGA
# E = -6.245 eV per atom
# Theoretical density = 9.93 Mg/m³
# Crystal system = tetragonal
data_Mg2TaRe
_chemical_formula_sum 'Mg2 Ta1 Re1'
_cell_length_a 3.546
_cell_length_b 3.546
_cell_length_c 5.529
_cell_angle_alpha 90.00
_cell_angle_beta 90.00
_cell_angle_gamma 90.00
_space_group_name_H-M_alt 'P 4/m m m'
_space_group_IT_number 123
_space_group_name_Hall '-P 4 2'
loop_
_atom_site_label
_atom_site_type_symbol
_atom_site_fract_x
_atom_site_fract_y
_atom_site_fract_z
Mg1 Mg 0.000 0.000 0.237
Ta1 Ta 0.500 0.500 0.500
Re1 Re 0.500 0.500 0.000

***

# MgTaRe2, relaxed, DFT PBE-GGA
# E = -9.377 eV per atom
# Theoretical density = 14.40 Mg/m³
# Crystal system = orthorhombic
data_MgTaRe2
_chemical_formula_sum 'Mg2 Ta2 Re4'
_cell_length_a 3.171
_cell_length_b 4.543
_cell_length_c 9.248
_cell_angle_alpha 90.00
_cell_angle_beta 90.00
_cell_angle_gamma 90.00
_space_group_name_H-M_alt 'C m m 2'
_space_group_IT_number 35
loop_
_space_group_symop_operation_xyz
'x,y,z'
'-x,-y,z'
'-x,y,z'
'x,-y,z'
'x+1/2,y+1/2,z'
'-x+1/2,-y+1/2,z'
'-x+1/2,y+1/2,z'
'x+1/2,-y+1/2,z'
loop_
_atom_site_label
_atom_site_type_symbol
_atom_site_fract_x
_atom_site_fract_y
_atom_site_fract_z
Mg1 Mg 0.000 0.000 0.000
Ta1 Ta 0.000 0.500 0.277
Re1 Re 0.000 0.000 0.517
Re2 Re 0.000 0.500 0.748

***

# Mg2TaRe, relaxed, DFT PBE-GGA
# E = -6.738 eV per atom
# Theoretical density = 9.37 Mg/m³
# Crystal system = orthorhombic
data_Mg2TaRe
_chemical_formula_sum 'Mg4 Ta2 Re2'
_cell_length_a 3.242
_cell_length_b 4.773
_cell_length_c 9.525
_cell_angle_alpha 90.00
_cell_angle_beta 90.00
_cell_angle_gamma 90.00
_space_group_name_H-M_alt 'C m m 2'
_space_group_IT_number 35
loop_
_space_group_symop_operation_xyz
'x,y,z'
'-x,-y,z'
'-x,y,z'
'x,-y,z'
'x+1/2,y+1/2,z'
'-x+1/2,-y+1/2,z'
'-x+1/2,y+1/2,z'
'x+1/2,-y+1/2,z'
loop_
_atom_site_label
_atom_site_type_symbol
_atom_site_fract_x
_atom_site_fract_y
_atom_site_fract_z
Mg1 Mg 0.000 0.000 0.000
Mg2 Mg 0.000 0.500 0.280
Ta1 Ta 0.000 0.500 0.735
Re1 Re 0.000 0.000 0.519

***

# Mg2TaRe, relaxed, DFT PBE-GGA
# E = -6.618 eV per atom
# Theoretical density = 9.82 Mg/m³
# Crystal system = monoclinic
data_Mg2TaRe
_chemical_formula_sum 'Mg4 Ta2 Re2'
_cell_length_a 9.464
_cell_length_b 2.746
_cell_length_c 5.426
_cell_angle_alpha 90.00
_cell_angle_beta 93.96
_cell_angle_gamma 90.00
_space_group_name_H-M_alt 'C 1 m 1'
_space_group_IT_number 8
loop_
_space_group_symop_operation_xyz
'x,y,z'
'x,-y,z'
'x+1/2,y+1/2,z'
'x+1/2,-y+1/2,z'
loop_
_atom_site_label
_atom_site_type_symbol
_atom_site_fract_x
_atom_site_fract_y
_atom_site_fract_z
Mg1 Mg 0.000 0.000 0.000
Mg2 Mg 0.245 0.000 0.761
Ta1 Ta 0.250 0.500 0.283
Re1 Re 0.002 0.500 0.493

***

# MgTa2Re2, relaxed, DFT PBE-GGA
# E = -9.683 eV per atom
# Theoretical density = 12.41 Mg/m³
# Crystal system = tetragonal
data_MgTa2Re2
_chemical_formula_sum 'Mg2 Ta4 Re4'
_cell_length_a 4.296
_cell_length_b 4.296
_cell_length_c 11.002
_cell_angle_alpha 90.00
_cell_angle_beta 90.00
_cell_angle_gamma 90.00
_space_group_name_H-M_alt 'I 4/m m m'
_space_group_IT_number 139
_space_group_name_Hall '-I 4 2'
loop_
_atom_site_label
_atom_site_type_symbol
_atom_site_fract_x
_atom_site_fract_y
_atom_site_fract_z
Mg1 Mg 0.000 0.000 0.000
Ta1 Ta 0.000 0.500 0.250
Re1 Re 0.000 0.000 0.386

***

# MgTa2Re, relaxed, DFT PBE-GGA
# E = -9.144 eV per atom
# Theoretical density = 13.45 Mg/m³
# Crystal system = tetragonal
data_MgTa2Re
_chemical_formula_sum 'Mg1 Ta2 Re1'
_cell_length_a 2.759
_cell_length_b 2.759
_cell_length_c 9.280
_cell_angle_alpha 90.00
_cell_angle_beta 90.00
_cell_angle_gamma 90.00
_space_group_name_H-M_alt 'P 4 m m'
_space_group_IT_number 99
loop_
_space_group_symop_operation_xyz
'x,y,z'
'-y,x,z'
'-x,-y,z'
'y,-x,z'
'-x,y,z'
'y,x,z'
'x,-y,z'
'-y,-x,z'
loop_
_atom_site_label
_atom_site_type_symbol
_atom_site_fract_x
_atom_site_fract_y
_atom_site_fract_z
Mg1 Mg 0.000 0.000 0.000
Ta1 Ta 0.000 0.000 0.481
Ta2 Ta 0.500 0.500 0.730
Re1 Re 0.500 0.500 0.236

***

# Mg4TaRe, relaxed, DFT PBE-GGA
# E = -4.521 eV per atom
# Theoretical density = 7.31 Mg/m³
# Crystal system = cubic
data_Mg4TaRe
_chemical_formula_sum 'Mg16 Ta4 Re4'
_cell_length_a 7.502
_cell_length_b 7.502
_cell_length_c 7.502
_cell_angle_alpha 90.00
_cell_angle_beta 90.00
_cell_angle_gamma 90.00
_space_group_name_H-M_alt 'F -4 3 m'
_space_group_IT_number 216
_space_group_name_Hall 'F -4 2 3'
loop_
_atom_site_label
_atom_site_type_symbol
_atom_site_fract_x
_atom_site_fract_y
_atom_site_fract_z
Mg1 Mg 0.125 0.125 0.125
Ta1 Ta 0.000 0.000 0.500
Re1 Re 0.250 0.250 0.750

***

# MgTa2Re, relaxed, DFT PBE-GGA
# E = -9.307 eV per atom
# Theoretical density = 13.49 Mg/m³
# Crystal system = orthorhombic
data_MgTa2Re
_chemical_formula_sum 'Mg2 Ta4 Re2'
_cell_length_a 3.351
_cell_length_b 4.650
_cell_length_c 9.039
_cell_angle_alpha 90.00
_cell_angle_beta 90.00
_cell_angle_gamma 90.00
_space_group_name_H-M_alt 'I m m m'
_space_group_IT_number 71
_space_group_name_Hall '-I 2 2'
loop_
_atom_site_label
_atom_site_type_symbol
_atom_site_fract_x
_atom_site_fract_y
_atom_site_fract_z
Mg1 Mg 0.000 0.000 0.000
Ta1 Ta 0.000 0.500 0.227
Re1 Re 0.000 0.000 0.500